This record from Alexandria via LeMat-Bulk describes a geometry-optimized Ti3Zn2In structure. The functional is GGA-PBE.

Unit cell a=2.8890 b=2.8890 c=12.0592 alpha=90.00 beta=90.00 gamma=90.00
Closest atoms and distances in Å follow each position.
Space group P4/mmm (No. 123)
Asymmetric unit:
Ti 0.0000 0.0000 0.0000 [1 per cell]  8 Zn 2.79, 4 Ti 2.89
Ti 0.0000 0.0000 0.3121 [2 per cell]  4 Zn 2.76, 4 Ti 2.89, 4 In 3.05
Zn 0.5000 0.5000 0.1577 [2 per cell]  8 Ti 2.76-2.79, 4 Zn 2.89
In 0.5000 0.5000 0.5000 [1 per cell]  4 In 2.89, 8 Ti 3.05

***

This record from Alexandria via LeMat-Bulk describes a geometry-optimized Ti4ZnIn3 structure. The functional is GGA-PBE.

## Properties
**Excess energy over the best structure of this formula in the dataset**: 0.000 eV/atom

Unit cell a=2.9597 b=2.9597 c=16.7086 alpha=90.00 beta=90.00 gamma=90.00
Closest atoms and distances in Å follow each position.
Space group P4/mmm (No. 123)
Asymmetric unit:
Ti 0.0000 0.0000 0.1088 [2 per cell]  4 Zn 2.77, 4 Ti 2.96, 4 In 3.04
Ti 0.0000 0.0000 0.3706 [2 per cell]  4 Ti 2.96, 8 In 3.01-3.02
Zn 0.5000 0.5000 0.0000 [1 per cell]  8 Ti 2.77, 4 Zn 2.96
In 0.5000 0.5000 0.2404 [2 per cell]  4 In 2.96, 8 Ti 3.02-3.04
In 0.5000 0.5000 0.5000 [1 per cell]  4 In 2.96, 8 Ti 3.01

***

This record from Alexandria via LeMat-Bulk describes a geometry-optimized Ti12Zn2In5 structure. The functional is GGA-PBE.

Unit cell a=14.5932 b=6.8098 c=7.6384 alpha=90.00 beta=109.27 gamma=90.00
Closest atoms and distances in Å follow each position.
Space group C2/m (No. 12)
Asymmetric unit:
Ti 0.0281 0.0000 0.1828 [4 per cell]  5 Ti 2.64-2.92, 2 Zn 2.84
Ti 0.0487 0.5000 0.6696 [4 per cell]  1 Ti 2.51, 2 Zn 2.56
Ti 0.1334 0.3186 0.3661 [8 per cell]  2 Ti 2.47-2.76, 1 Zn 2.67
Ti 0.1460 0.2409 0.9707 [8 per cell]  3 In 2.83-2.91, 4 Ti 2.87-3.13
Zn 0.0000 0.1718 0.5000 [4 per cell]  1 Zn 2.34, 2 Ti 2.56
In 0.0000 0.5000 0.0000 [2 per cell]  10 Ti 2.83-3.09
In 0.1934 0.0000 0.6972 [4 per cell]  6 Ti 2.91-3.23, 2 Zn 2.97
In 0.2500 0.0000 0.2756 [4 per cell]  8 Ti 2.83-3.08

***

This record from Alexandria via LeMat-Bulk describes a geometry-optimized Ti6Zn2In structure. The functional is GGA-PBE.

## Properties
**Excess energy over the best structure of this formula in the dataset**: 0.000 eV/atom

Unit cell a=8.1098 b=8.1886 c=9.5059 alpha=90.00 beta=90.00 gamma=90.00
Closest atoms and distances in Å follow each position.
Space group Immm (No. 71)
Asymmetric unit:
Ti 0.0000 0.2206 0.1852 [8 per cell]  3 Zn 2.55-2.80
Ti 0.2090 0.5000 0.2495 [8 per cell]  2 Zn 2.64, 2 Ti 2.91, 2 In 2.91-2.92
Ti 0.2104 0.2069 0.5000 [8 per cell]  3 Zn 2.65-2.68, 2 In 2.90-2.94
Zn 0.0000 0.0000 0.3748 [4 per cell]  1 Zn 2.38, 4 Ti 2.55-2.64
Zn 0.1506 0.0000 0.0000 [4 per cell]  1 Zn 2.44, 4 Ti 2.64-2.65
In 0.0000 0.5000 0.0000 [2 per cell]  12 Ti 2.89-2.91
In 0.0000 0.5000 0.5000 [2 per cell]  2 Zn 2.83, 8 Ti 2.92-2.94

***

This record from Alexandria via LeMat-Bulk describes a geometry-optimized Ti5ZnIn2 structure. The functional is GGA-PBE.

## Properties
**Excess energy over the best structure of this formula in the dataset**: 0.000 eV/atom

Unit cell a=4.0797 b=4.0797 c=17.0890 alpha=90.00 beta=90.00 gamma=90.00
Closest atoms and distances in Å follow each position.
Space group I4/mmm (No. 139)
Asymmetric unit:
Ti 0.0000 0.0000 0.0000 [2 per cell]  8 Ti 2.84, 4 Zn 2.88
Ti 0.0000 0.5000 0.1158 [8 per cell]  6 Ti 2.84-2.88, 2 Zn 2.84, 4 In 3.07
Zn 0.0000 0.0000 0.5000 [2 per cell]  12 Ti 2.84-2.88
In 0.0000 0.0000 0.2497 [4 per cell]  4 In 2.88, 8 Ti 3.07

***

This record from Alexandria via LeMat-Bulk describes a geometry-optimized TiZnIn structure. The functional is GGA-PBE.

Unit cell a=4.5110 b=4.5110 c=3.0759 alpha=90.00 beta=90.00 gamma=120.00
Closest atoms and distances in Å follow each position.
Space group P3m1 (No. 156)
Asymmetric unit:
Ti 0.0000 0.0000 0.0000 [1 per cell]  6 Zn 3.02-3.03, 6 In 3.02-3.03, 2 Ti 3.08
Zn 0.6667 0.3333 0.4969 [1 per cell]  3 In 2.60
In 0.3333 0.6667 0.5016 [1 per cell]  3 Zn 2.60

***

This record from Alexandria via LeMat-Bulk describes a geometry-optimized Ti6ZnIn3 structure. The functional is GGA-PBE.

Unit cell a=8.0046 b=4.7549 c=10.3212 alpha=90.00 beta=112.42 gamma=90.00
Closest atoms and distances in Å follow each position.
Space group P2_1/m (No. 11)
Asymmetric unit:
Ti 0.0493 0.2500 0.3578 [2 per cell]  1 Zn 2.77, 6 Ti 2.82-3.01, 4 In 2.93-2.95
Ti 0.1371 0.7500 0.2191 [2 per cell]  3 Zn 2.79-2.88, 4 Ti 2.84-2.99, 4 In 2.90-3.04
Ti 0.1548 0.2500 0.6711 [2 per cell]  8 Ti 2.80-3.01, 4 In 2.94-3.06
Ti 0.2344 0.2500 0.9596 [2 per cell]  4 Ti 2.80-3.00, 3 Zn 2.81, 4 In 2.94-3.04
Ti 0.3199 0.7500 0.8185 [2 per cell]  5 Ti 2.82-3.00, 5 In 2.88-3.04, 1 Zn 2.91
Ti 0.4508 0.2500 0.5711 [2 per cell]  7 In 2.90-3.07, 5 Ti 2.92-3.18
Zn 0.0354 0.7500 0.9288 [2 per cell]  8 Ti 2.77-2.91, 2 Zn 2.96, 1 In 3.04
In 0.2269 0.7500 0.5204 [2 per cell]  11 Ti 2.88-3.07, 1 In 3.19
In 0.3595 0.2500 0.2706 [2 per cell]  8 Ti 2.90-3.04, 1 Zn 3.04, 3 In 3.07-3.19
In 0.4515 0.7500 0.1217 [2 per cell]  9 Ti 2.90-3.06, 2 In 3.07, 1 Zn 3.16

***

This record from Alexandria via LeMat-Bulk describes a geometry-optimized Ti5Zn3In12 structure. The functional is GGA-PBE.

Unit cell a=16.4073 b=16.4073 c=16.4073 alpha=90.00 beta=90.00 gamma=90.00
Closest atoms and distances in Å follow each position.
Space group Ia-3d (No. 230)
Asymmetric unit:
Ti 0.0000 0.0000 0.0000 [16 per cell]  6 In 2.80
Ti 0.0000 0.2500 0.3750 [24 per cell]  4 In 2.82
Zn 0.0000 0.2500 0.1250 [24 per cell]  4 In 2.77
In 0.0143 0.0833 0.6480 [96 per cell]  1 Zn 2.77, 2 Ti 2.80-2.82, 1 In 3.03

***

This record from Alexandria via LeMat-Bulk describes a geometry-optimized Ti2ZnIn structure. The functional is GGA-PBE.

Unit cell a=6.6252 b=6.6252 c=6.6252 alpha=90.00 beta=90.00 gamma=90.00
Closest atoms and distances in Å follow each position.
Space group F-43m (No. 216)
Asymmetric unit:
Ti 0.0000 0.0000 0.0000 [4 per cell]  4 Zn 2.87, 4 Ti 2.87
Ti 0.2500 0.2500 0.2500 [4 per cell]  4 In 2.87, 4 Ti 2.87
Zn 0.2500 0.2500 0.7500 [4 per cell]  4 In 2.87, 4 Ti 2.87
In 0.0000 0.0000 0.5000 [4 per cell]  4 Zn 2.87, 4 Ti 2.87

***

This record from Alexandria via LeMat-Bulk describes a geometry-optimized Ti6Zn2In structure. The functional is GGA-PBE.

## Properties
**Excess energy over the best structure of this formula in the dataset**: 0.058 eV/atom

Unit cell a=2.7768 b=7.9528 c=14.1055 alpha=90.00 beta=90.00 gamma=90.00
Closest atoms and distances in Å follow each position.
Space group Immm (No. 71)
Asymmetric unit:
Ti 0.0000 0.1647 0.0000 [4 per cell]  5 Ti 2.62-2.78, 4 Zn 2.89
Ti 0.0000 0.3138 0.1721 [8 per cell]  6 Ti 2.70-2.96, 3 Zn 2.87
Zn 0.0000 0.5000 0.3463 [4 per cell]  2 Zn 2.78, 10 Ti 2.87-2.89
In 0.0000 0.0000 0.5000 [2 per cell]  2 In 2.78, 4 Ti 3.01

***

This record from Alexandria via LeMat-Bulk describes a geometry-optimized Ti4ZnIn3 structure. The functional is GGA-PBE.

## Properties
**Excess energy over the best structure of this formula in the dataset**: 0.158 eV/atom

Unit cell a=10.1190 b=6.2149 c=4.8981 alpha=90.00 beta=90.00 gamma=90.00
Closest atoms and distances in Å follow each position.
Space group Pmn2_1 (No. 31)
Asymmetric unit:
Ti 0.0000 0.0941 0.9999 [2 per cell]  1 Zn 2.76, 4 Ti 2.77-2.82, 4 In 2.97-3.01
Ti 0.0000 0.8869 0.5000 [2 per cell]  4 Ti 2.77-2.91, 2 Zn 2.86, 3 In 3.00-3.06
Ti 0.2475 0.8950 0.9299 [4 per cell]  4 Ti 2.78-2.91, 4 In 2.92-3.06, 1 Zn 2.95
Zn 0.0000 0.6501 0.9997 [2 per cell]  5 Ti 2.76-2.95, 4 In 2.99-3.05
In 0.0000 0.3698 0.4954 [2 per cell]  6 Ti 2.97-3.21, 2 Zn 2.99-3.02, 4 In 3.11-3.24
In 0.2419 0.3640 0.9296 [4 per cell]  5 Ti 2.92-3.06, 4 In 2.98-3.24, 1 Zn 3.05

***

This record from Alexandria via LeMat-Bulk describes a geometry-optimized Ti3Zn2In2 structure. The functional is GGA-PBE.

Unit cell a=4.2626 b=19.3444 c=2.9752 alpha=90.00 beta=90.00 gamma=90.00
Closest atoms and distances in Å follow each position.
Space group Cmmm (No. 65)
Asymmetric unit:
Ti 0.0000 0.0000 0.0000 [2 per cell]  4 Ti 2.98-3.05, 8 In 3.01
Ti 0.0000 0.1575 0.0000 [4 per cell]  6 Zn 2.82-2.85, 3 Ti 2.98-3.05, 4 In 3.01
Zn 0.0000 0.2816 0.5000 [4 per cell]  2 Zn 2.46, 1 In 2.70
In 0.0000 0.4215 0.5000 [4 per cell]  1 Zn 2.70, 2 In 2.98, 8 Ti 3.01

***

Calculated formation energy across the listed records, respectively: -99, -117, 186, 13, -89, -18, -108, 1041, 46, 63, 4, -109 kJ/mol of formula units.